A relaxed Y3ThIn2 crystal, computed with PBE.

Values from the calculation:
- Calculated formation energy: -338 meV per atom
- D(E_F): 4.5 states/eV/f.u.
- Symmetry: P4/mmm, No. 123

Cell lengths 3.623, 3.623, 12.965 Å; angles 90.00, 90.00, 90.00 degrees
Atoms (fractional coordinates):
Y (0.000, 0.000, 0.000)
Y (0.000, 0.000, 0.684)
Y (0.000, 0.000, 0.316)
Th (0.500, 0.500, 0.500)
In (0.500, 0.500, 0.841)
In (0.500, 0.500, 0.159)

---

A relaxed YThIn4 crystal, computed with PBE.

Values from the calculation:
- Calculated formation energy: -286 meV per atom
- D(E_F): 3.2 states/eV/f.u.
- Symmetry: F-43m, No. 216

Cell lengths 6.049, 6.049, 6.049 Å; angles 60.00, 60.00, 60.00 degrees
Atoms (fractional coordinates):
Y (0.250, 0.250, 0.250)
Th (0.000, 0.000, 0.000)
In (0.625, 0.625, 0.125)
In (0.625, 0.125, 0.625)
In (0.625, 0.625, 0.625)
In (0.125, 0.625, 0.625)

---

A relaxed Y5ThIn6 crystal, computed with PBE.

Values from the calculation:
- Calculated formation energy: -446 meV per atom
- D(E_F): 5.6 states/eV/f.u.
- Symmetry: Immm, No. 71

Cell lengths 5.377, 7.511, 9.284 Å; angles 113.86, 106.80, 90.00 degrees
Atoms (fractional coordinates):
Y (0.659, 0.159, 0.318)
Y (0.329, 0.330, 0.659)
Y (0.000, 0.500, 0.000)
Y (0.671, 0.670, 0.341)
Y (0.341, 0.841, 0.682)
Th (0.000, 0.000, 0.000)
In (0.830, 0.571, 0.659)
In (0.829, 0.088, 0.659)
In (0.500, 0.733, 0.000)
In (0.500, 0.267, 0.000)
In (0.171, 0.912, 0.341)
In (0.170, 0.429, 0.341)

---

A relaxed Y5ThIn3 crystal, computed with PBE.

Values from the calculation:
- Calculated formation energy: -362 meV per atom
- D(E_F): 10.9 states/eV/f.u.
- Symmetry: P6_3/mcm, No. 193

Cell lengths 6.714, 9.423, 9.423 Å; angles 120.00, 90.00, 90.00 degrees
Atoms (fractional coordinates):
Y (0.000, 0.667, 0.333)
Y (0.500, 0.333, 0.667)
Y (0.000, 0.333, 0.667)
Y (0.500, 0.667, 0.333)
Y (0.750, 0.674, 0.674)
Y (0.750, 0.000, 0.326)
Y (0.750, 0.326, 0.000)
Y (0.250, 0.326, 0.326)
Y (0.250, 0.000, 0.674)
Y (0.250, 0.674, 0.000)
Th (0.000, 0.000, 0.000)
Th (0.500, 0.000, 0.000)
In (0.750, 0.343, 0.343)
In (0.750, 0.000, 0.657)
In (0.750, 0.656, 0.000)
In (0.250, 0.657, 0.657)
In (0.250, 0.000, 0.343)
In (0.250, 0.344, 0.000)

---

A relaxed YThIn3 crystal, computed with PBE.

Values from the calculation:
- Calculated formation energy: 309 meV per atom
- D(E_F): 3.8 states/eV/f.u.
- Symmetry: I-4m2, No. 119

Cell lengths 5.908, 5.908, 12.058 Å; angles 104.18, 104.18, 90.00 degrees
Atoms (fractional coordinates):
Y (0.670, 0.170, 0.340)
Y (0.830, 0.330, 0.660)
Th (0.000, 0.000, 0.000)
Th (0.250, 0.750, 0.500)
In (0.625, 0.878, 0.755)
In (0.122, 0.870, 0.245)
In (0.122, 0.375, 0.245)
In (0.130, 0.878, 0.755)
In (0.262, 0.262, 0.523)
In (0.738, 0.738, 0.477)

---

A relaxed Y2ThIn crystal, computed with PBE.

Values from the calculation:
- Calculated formation energy: -130 meV per atom
- Excess energy over the best structure of this formula in the dataset: 129 meV/atom
- D(E_F): 6.9 states/eV/f.u.
- Symmetry: R3m, No. 160

Cell lengths 3.582, 3.582, 11.155 Å; angles 80.75, 80.75, 59.99 degrees
Atoms (fractional coordinates):
Y (0.078, 0.078, 0.767)
Y (0.256, 0.256, 0.232)
Th (0.500, 0.500, 0.500)
In (0.666, 0.666, 0.001)